## Er4OsRu2 (PBE)

Data for a relaxed structure of Er4OsRu2. Values from VASP.

Quantum ESPRESSO input file:
```
&SYSTEM
  ibrav = 0, nat = 7, ntyp = 3
/
ATOMIC_SPECIES
Er 167.26 Er.upf
Os 190.23 Os.upf
Ru 101.07 Ru.upf
ATOMIC_POSITIONS crystal
Er 0.124 0.124 0.124
Er 0.374 0.374 0.374
Er 0.626 0.626 0.626
Er 0.876 0.876 0.876
Os 0.500 0.500 0.500
Ru 0.249 0.249 0.249
Ru 0.751 0.751 0.751
CELL_PARAMETERS angstrom
2.424 1.400 7.470
-2.424 1.400 7.470
0.000 -2.799 7.470
```

Values from the calculation:
The calculated total energy comes out at -7.101 eV per atom.

***

## GaHg3I3 (PBE)

Data for a relaxed structure of GaHg3I3. Values from VASP.

Quantum ESPRESSO input file:
```
&SYSTEM
  ibrav = 0, nat = 7, ntyp = 3
/
ATOMIC_SPECIES
Ga 69.72 Ga.upf
Hg 200.59 Hg.upf
I 126.90 I.upf
ATOMIC_POSITIONS crystal
Ga 0.000 0.000 0.000
Hg 0.476 0.846 0.846
Hg 0.846 0.476 0.846
Hg 0.846 0.846 0.476
I 0.358 0.358 0.975
I 0.358 0.975 0.358
I 0.975 0.358 0.358
CELL_PARAMETERS angstrom
6.177 3.566 2.041
-6.177 3.566 2.041
0.000 -7.133 2.041
```

Values from the calculation:
The uncorrected formation energy comes out at -60 meV per atom.

***

## Ba2ZrCd (PBE)

Data for a relaxed structure of Ba2ZrCd. Values from VASP.

Quantum ESPRESSO input file:
```
&SYSTEM
  ibrav = 0, nat = 4, ntyp = 3
/
ATOMIC_SPECIES
Ba 137.33 Ba.upf
Zr 91.22 Zr.upf
Cd 112.41 Cd.upf
ATOMIC_POSITIONS crystal
Ba 0.250 0.250 0.250
Ba 0.750 0.750 0.750
Zr 0.000 0.000 0.000
Cd 0.500 0.500 0.500
CELL_PARAMETERS angstrom
1.901 1.098 11.632
-1.901 1.098 11.632
0.000 -2.195 11.632
```

Values from the calculation:
The calculated total energy comes out at -2.941 eV per atom.

***

## LiHoSiNi (PBE)

Data for a relaxed structure of LiHoSiNi. Values from VASP.

Quantum ESPRESSO input file:
```
&SYSTEM
  ibrav = 0, nat = 4, ntyp = 4
/
ATOMIC_SPECIES
Li 6.94 Li.upf
Ho 164.93 Ho.upf
Si 28.09 Si.upf
Ni 58.69 Ni.upf
ATOMIC_POSITIONS crystal
Li 0.000 0.000 0.000
Ho 0.750 0.750 0.750
Si 0.250 0.250 0.250
Ni 0.500 0.500 0.500
CELL_PARAMETERS angstrom
0.000 3.105 3.105
3.105 0.000 3.105
3.105 3.105 0.000
```

Values from the calculation:
The uncorrected formation energy comes out at -543 meV per atom.